A relaxed structure of ErHgRh2. Source: Alexandria, functional PBE.

Lattice parameters (Å, degrees): 4.3592 4.3592 3.7644 90.00 90.00 90.00
Space group P4/mmm (No. 123)
Symmetry-distinct sites (fractional):
1 Er 0.0000 0.0000 0.0000
2 Hg 0.5000 0.5000 0.0000
3 Rh 0.0000 0.5000 0.5000

- energy relative to the elements (eV/atom) = -0.576

=====

A relaxed structure of Er5HgRh. Source: Alexandria, functional PBE.

Lattice parameters (Å, degrees): 9.1360 7.2380 11.8444 90.00 105.32 90.00
Space group C2/c (No. 15)
Symmetry-distinct sites (fractional):
1 Er 0.0000 0.0065 0.2500
2 Er 0.1242 0.3351 0.5693
3 Er 0.2487 0.3314 0.8750
4 Hg 0.0000 0.4158 0.2500
5 Rh 0.0000 0.0000 0.0000

- energy relative to the elements (eV/atom) = -0.302

=====

A relaxed structure of Er2Hg3Rh. Source: Alexandria, functional PBE.

Lattice parameters (Å, degrees): 3.3721 4.8414 8.3940 90.00 90.00 90.00
Space group Pmm2 (No. 25)
Symmetry-distinct sites (fractional):
1 Er 0.0000 0.0000 0.0000
2 Er 0.0000 0.5000 0.4211
3 Hg 0.5000 0.0000 0.6044
4 Hg 0.5000 0.5000 0.1149
5 Hg 0.5000 0.5000 0.7785
6 Rh 0.5000 0.0000 0.2762

- energy relative to the elements (eV/atom) = -0.447

=====

A relaxed structure of Er5Hg4Rh. Source: Alexandria, functional PBE.

Lattice parameters (Å, degrees): 3.5845 3.5845 18.6264 90.00 90.00 90.00
Space group P4/mmm (No. 123)
Symmetry-distinct sites (fractional):
1 Er 0.0000 0.0000 0.0000
2 Er 0.0000 0.0000 0.2054
3 Er 0.0000 0.0000 0.4140
4 Hg 0.5000 0.5000 0.1029
5 Hg 0.5000 0.5000 0.3065
6 Rh 0.5000 0.5000 0.5000

- energy relative to the elements (eV/atom) = -0.569

=====

A relaxed structure of ErHg2Rh. Source: Alexandria, functional PBE.

Lattice parameters (Å, degrees): 4.1462 4.1462 4.8320 90.00 90.00 90.00
Space group P4/mmm (No. 123)
Symmetry-distinct sites (fractional):
1 Er 0.0000 0.0000 0.0000
2 Hg 0.0000 0.5000 0.5000
3 Rh 0.5000 0.5000 0.0000

- energy relative to the elements (eV/atom) = -0.299

=====

A relaxed structure of Er6HgRh2. Source: Alexandria, functional PBE.

Lattice parameters (Å, degrees): 9.2571 9.4954 10.2685 90.00 90.00 90.00
Space group Immm (No. 71)
Symmetry-distinct sites (fractional):
1 Er 0.0000 0.1988 0.2392
2 Er 0.1940 0.5000 0.1704
3 Er 0.2143 0.3191 0.5000
4 Hg 0.0000 0.0000 0.0000
5 Hg 0.0000 0.0000 0.5000
6 Rh 0.0000 0.3361 0.0000
7 Rh 0.0000 0.5000 0.3675

- energy relative to the elements (eV/atom) = -0.585

=====

A relaxed structure of Er3Hg2Rh. Source: Alexandria, functional PBE.

Lattice parameters (Å, degrees): 3.9209 19.1018 8.7046 90.00 90.00 90.00
Space group Cmcm (No. 63)
Symmetry-distinct sites (fractional):
1 Er 0.0000 0.0963 0.0459
2 Er 0.0000 0.3029 0.2500
3 Hg 0.0000 0.3207 0.7500
4 Hg 0.0000 0.4942 0.7500
5 Rh 0.0000 0.0951 0.7500

- energy relative to the elements (eV/atom) = -0.336

=====

A relaxed structure of Er5Hg2Rh. Source: Alexandria, functional PBE.

Lattice parameters (Å, degrees): 7.0233 11.9209 4.8877 90.00 90.00 90.00
Space group Pbam (No. 55)
Symmetry-distinct sites (fractional):
1 Er 0.0000 0.0000 0.0000
2 Er 0.1412 0.2917 0.0000
3 Er 0.1747 0.5873 0.5000
4 Hg 0.0859 0.8405 0.5000
5 Rh 0.0000 0.5000 0.0000

- energy relative to the elements (eV/atom) = -0.514